Record 1
A plane-wave DFT calculation with PBE-GGA was carried out for a relaxed structure of Be2Nb3Os5.

a b c (Å): 9.468 9.468 3.170
angles (deg): 90.00 90.00 90.00
Sites, in units of the cell vectors:
1 Be 0.121 0.379 0.000
2 Be 0.379 0.879 0.000
3 Be 0.621 0.121 0.000
4 Be 0.879 0.621 0.000
5 Nb 0.000 0.000 0.000
6 Nb 0.175 0.675 0.000
7 Nb 0.325 0.175 0.000
8 Nb 0.500 0.500 0.000
9 Nb 0.675 0.825 0.000
10 Nb 0.825 0.325 0.000
11 Os 0.000 0.500 0.500
12 Os 0.073 0.212 0.500
13 Os 0.212 0.927 0.500
14 Os 0.288 0.427 0.500
15 Os 0.427 0.712 0.500
16 Os 0.500 0.000 0.500
17 Os 0.573 0.288 0.500
18 Os 0.712 0.573 0.500
19 Os 0.788 0.073 0.500
20 Os 0.927 0.788 0.500

Computed properties:
spin magnetization = 0.00 μB per cell
crystal system = tetragonal
energy relative to the elements = -0.279 eV per atom
calculated density = 14.59 Mg/m³
calculated total energy = -193.2 eV per cell
space group = No. 127

Record 2
A plane-wave DFT calculation with PBE-GGA was carried out for a relaxed structure of KLiSc2As.

a b c (Å): 5.286 5.286 4.161
angles (deg): 90.00 90.00 90.00
Sites, in units of the cell vectors:
1 K 0.000 0.000 0.000
2 Li 0.000 0.000 0.500
3 Sc 0.000 0.500 0.000
4 Sc 0.500 0.000 0.000
5 As 0.500 0.500 0.500

Computed properties:
spin magnetization = 0.00 μB per cell
crystal system = tetragonal
energy relative to the elements = 1.173 eV per atom
calculated density = 3.01 Mg/m³
calculated total energy = -14.5 eV per cell
space group = No. 123

Record 3
A plane-wave DFT calculation with PBE-GGA was carried out for a relaxed structure of WBr2.

a b c (Å): 6.052 6.052 9.860
angles (deg): 90.00 90.00 120.00
Sites, in units of the cell vectors:
1 W 0.333 0.667 0.058
2 W 0.333 0.667 0.442
3 W 0.667 0.333 0.558
4 W 0.667 0.333 0.942
5 Br 0.000 0.000 0.000
6 Br 0.000 0.000 0.500
7 Br 0.174 0.347 0.250
8 Br 0.174 0.826 0.250
9 Br 0.347 0.174 0.750
10 Br 0.653 0.826 0.250
11 Br 0.826 0.174 0.750
12 Br 0.826 0.653 0.750

Computed properties:
energy above the most stable polymorph in this dataset = 567 kJ/mol of formula units
formation energy without anion corrections = 1.49 eV/atom
spin magnetization = 0.00 μB per cell
crystal system = hexagonal
calculated density = 7.30 Mg/m³
calculated total energy = -47.3 eV per cell
space group = No. 194

Record 4
A plane-wave DFT calculation with PBE-GGA was carried out for a relaxed structure of LiTcNi.

a b c (Å): 4.270 4.270 2.446
angles (deg): 90.00 90.00 120.00
Sites, in units of the cell vectors:
1 Li 0.000 0.000 0.000
2 Tc 0.333 0.667 0.500
3 Ni 0.667 0.333 0.500

Computed properties:
energy above the most stable polymorph in this dataset = 66 kJ/mol of formula units
spin magnetization = 0.00 μB per cell
crystal system = hexagonal
energy relative to the elements = 0.292 eV per atom
calculated density = 7.04 Mg/m³
calculated total energy = -17.2 eV per cell
space group = No. 187

Record 5
A plane-wave DFT calculation with PBE-GGA was carried out for a relaxed structure of Sm2SnP.

a b c (Å): 8.161 8.161 8.161
angles (deg): 28.70 28.70 28.70
Sites, in units of the cell vectors:
1 Sm 0.237 0.237 0.237
2 Sm 0.763 0.763 0.763
3 Sn 0.000 0.000 0.000
4 P 0.500 0.500 0.500

Computed properties:
spin magnetization = 0.00 μB per cell
crystal system = trigonal
energy relative to the elements = -1.107 eV per atom
calculated density = 6.75 Mg/m³
calculated total energy = -23.3 eV per cell
space group = No. 166

Record 6
A plane-wave DFT calculation with PBE-GGA was carried out for a relaxed structure of K2HfInSe.

a b c (Å): 6.163 6.163 5.488
angles (deg): 90.00 90.00 90.00
Sites, in units of the cell vectors:
1 K 0.000 0.500 0.000
2 K 0.500 0.000 0.000
3 Hf 0.000 0.000 0.500
4 In 0.000 0.000 0.000
5 Se 0.500 0.500 0.500

Computed properties:
formation energy without anion corrections = 0.65 eV/atom
spin magnetization = 0.00 μB per cell
crystal system = tetragonal
calculated density = 3.59 Mg/m³
calculated total energy = -15.1 eV per cell
space group = No. 123

Record 7
A plane-wave DFT calculation with PBE-GGA was carried out for a relaxed structure of PmSc3Ni8.

a b c (Å): 4.963 4.963 8.113
angles (deg): 90.00 90.00 120.00
Sites, in units of the cell vectors:
1 Pm 0.000 0.000 0.000
2 Sc 0.000 0.000 0.380
3 Sc 0.667 0.333 0.491
4 Sc 0.667 0.333 0.854
5 Ni 0.167 0.334 0.676
6 Ni 0.167 0.833 0.676
7 Ni 0.333 0.667 0.431
8 Ni 0.333 0.667 0.931
9 Ni 0.501 0.003 0.190
10 Ni 0.501 0.499 0.190
11 Ni 0.666 0.833 0.676
12 Ni 0.997 0.499 0.190

Computed properties:
energy above the most stable polymorph in this dataset = 23 kJ/mol of formula units
spin magnetization = 0.00 μB per cell
crystal system = trigonal
energy relative to the elements = -0.446 eV per atom
calculated density = 7.19 Mg/m³
calculated total energy = -75.3 eV per cell
space group = No. 156

Record 8
A plane-wave DFT calculation with PBE-GGA was carried out for a relaxed structure of PdSe2I.

a b c (Å): 8.460 4.026 15.094
angles (deg): 90.00 111.31 90.00
Sites, in units of the cell vectors:
1 Pd 0.224 0.005 0.259
2 Pd 0.224 0.495 0.759
3 Pd 0.776 0.505 0.241
4 Pd 0.776 0.995 0.741
5 Se 0.266 0.505 0.166
6 Se 0.266 0.995 0.666
7 Se 0.488 0.505 0.115
8 Se 0.488 0.995 0.615
9 Se 0.512 0.005 0.385
10 Se 0.512 0.495 0.885
11 Se 0.734 0.005 0.334
12 Se 0.734 0.495 0.834
13 I 0.120 0.505 0.367
14 I 0.120 0.995 0.867
15 I 0.880 0.005 0.133
16 I 0.880 0.495 0.633

Computed properties:
energy above the most stable polymorph in this dataset = 20 kJ/mol of formula units
formation energy without anion corrections = -0.13 eV/atom
spin magnetization = 0.00 μB per cell
crystal system = monoclinic
calculated density = 5.43 Mg/m³
calculated total energy = -57.0 eV per cell
space group = No. 14